1.
Here is RbSi3Se after structural relaxation from Alexandria via LeMat-Bulk. Energies are from GGA-PBE.

Cell and atoms, written as POSCAR:
```
RbSi3Se
1.0
5.219 0.000 0.000
0.000 5.219 0.000
0.000 0.000 5.219
Rb Si Se
1 3 1
Cartesian
0.000 0.000 0.000
0.000 2.609 2.609
2.609 0.000 2.609
2.609 2.609 0.000
2.609 2.609 2.609
```

## Properties
Its uncorrected formation energy is 0.85 eV/atom. The density of states at the Fermi level is 0.585 states/eV/atom. As for the space-group type: Pm-3m, No. 221. The energy above the most stable polymorph in this dataset is 0.000 eV/atom.

=====

2.
Here is RbSi2Se4 after structural relaxation from Alexandria via LeMat-Bulk. Energies are from GGA-PBE.

Cell and atoms, written as POSCAR:
```
RbSi2Se4
1.0
-4.305 4.305 2.998
4.305 -4.305 2.998
4.305 4.305 -2.998
Rb Si Se
1 2 4
Cartesian
0.000 0.000 0.000
4.305 0.000 1.499
0.000 4.305 1.499
3.223 1.486 0.000
2.819 -1.082 2.998
1.486 5.388 0.000
1.082 2.819 2.998
```

## Properties
Its uncorrected formation energy is -0.56 eV/atom. The density of states at the Fermi level is 0.558 states/eV/atom. As for the space-group type: I4/m, No. 87.

=====

3.
Here is Rb3SiSe after structural relaxation from Alexandria via LeMat-Bulk. Energies are from GGA-PBE.

Cell and atoms, written as POSCAR:
```
Rb3SiSe
1.0
6.580 0.000 0.000
0.000 6.580 0.000
0.000 0.000 6.580
Rb Si Se
3 1 1
Cartesian
0.000 0.000 3.290
0.000 3.290 0.000
3.290 0.000 0.000
3.290 3.290 3.290
0.000 0.000 0.000
```

## Properties
Its uncorrected formation energy is -0.11 eV/atom. The density of states at the Fermi level is 0.000 states/eV/atom. As for the space-group type: Pm-3m, No. 221. The energy above the most stable polymorph in this dataset is 0.000 eV/atom.

=====

4.
Here is Rb4SiSe4 after structural relaxation from Alexandria via LeMat-Bulk. Energies are from GGA-PBE.

Cell and atoms, written as POSCAR:
```
Rb4SiSe4
1.0
-5.028 5.028 3.411
5.028 -5.028 3.411
5.028 5.028 -3.411
Rb Si Se
4 1 4
Cartesian
7.093 0.842 0.000
0.842 2.963 0.000
4.186 2.065 3.411
-2.065 4.186 3.411
0.000 0.000 3.411
4.271 2.743 0.000
2.285 -0.757 3.411
2.743 5.785 0.000
0.757 2.285 3.411
```

## Properties
Its uncorrected formation energy is -0.76 eV/atom. The density of states at the Fermi level is 0.231 states/eV/atom. As for the space-group type: I4/m, No. 87. The energy above the most stable polymorph in this dataset is 0.310 eV/atom.

=====

5.
Here is RbSiSe3 after structural relaxation from Alexandria via LeMat-Bulk. Energies are from GGA-PBE.

Cell and atoms, written as POSCAR:
```
RbSiSe3
1.0
5.980 0.000 0.000
0.000 5.980 0.000
0.000 0.000 5.980
Rb Si Se
1 1 3
Cartesian
0.000 0.000 0.000
2.990 2.990 2.990
0.000 0.000 2.990
0.000 2.990 0.000
2.990 0.000 0.000
```

## Properties
Its uncorrected formation energy is 1.39 eV/atom. The density of states at the Fermi level is 0.659 states/eV/atom. As for the space-group type: Pm-3m, No. 221.

=====

6.
Here is Rb2SiSe3 after structural relaxation from Alexandria via LeMat-Bulk. Energies are from GGA-PBE.

Cell and atoms, written as POSCAR:
```
Rb2SiSe3
1.0
3.558 -7.251 0.000
3.558 7.251 0.000
-0.018 0.000 16.323
Rb Si Se
8 4 12
Cartesian
1.765 2.736 10.532
1.775 1.543 1.054
1.766 -1.543 9.216
1.774 -2.736 2.370
5.325 2.736 13.953
5.332 1.543 7.108
5.324 -1.543 15.269
5.334 -2.736 5.792
1.766 0.012 13.543
1.775 -0.012 5.381
5.324 0.012 10.942
5.333 -0.012 2.780
3.545 6.316 12.243
1.768 2.218 13.887
1.774 1.332 7.196
1.765 -1.332 15.357
1.777 -2.218 5.726
3.554 0.936 4.081
3.545 -0.936 12.243
5.322 2.218 10.598
5.334 1.332 0.966
5.325 -1.332 9.128
5.330 -2.218 2.436
3.554 -6.316 4.081
```

## Properties
Its uncorrected formation energy is -0.95 eV/atom. As for the space-group type: C2/c, No. 15.